Below is a relaxed CrGePdO crystal, with properties calculated at the GGA+U level.

Cell: 3.070 3.070 22.281 Å, 90.00 90.00 120.00°
Each line ends with the local moment (μB).
Sites, in units of the cell vectors:
O1 0.667 0.333 0.938  -0.13
O2 0.000 0.000 0.604  -0.13
O3 0.333 0.667 0.271  -0.13
Cr1 0.000 0.000 0.977  3.42
Cr2 0.667 0.333 0.310  3.42
Cr3 0.333 0.667 0.644  3.42
Pd1 0.667 0.333 0.834  0.01
Pd2 0.000 0.000 0.500  0.01
Pd3 0.333 0.667 0.167  0.01
Ge1 0.333 0.667 0.420  -0.01
Ge2 0.667 0.333 0.087  -0.01
Ge3 0.000 0.000 0.753  -0.01

Properties
electronic total energy: -0.4509 Ry per atom
spin magnetization: 0.86 μB per atom
energy above the lowest structure with this stoichiometry: 0.698 eV/f.u.
Fermi-level density of states: 4.687 states/eV per cell